A relaxed NbRe crystal. Source: the Alexandria database, functional PBE-GGA.

## Properties
Formation energy from the elements in eV per atom: -0.1505

The structure in CIF format:
```
data_NbRe
_chemical_formula_sum 'Nb8 Re8'
_cell_length_a 9.038
_cell_length_b 4.516
_cell_length_c 6.416
_cell_angle_alpha 90.00
_cell_angle_beta 90.00
_cell_angle_gamma 90.00
_symmetry_space_group_name_H-M 'P n m a'
_symmetry_Int_Tables_number 62
loop_
_symmetry_equiv_pos_as_xyz
'x,y,z'
'-x,-y,-z'
'-x+1/2,-y,z+1/2'
'x+1/2,y,-z+1/2'
'x+1/2,-y+1/2,-z+1/2'
'-x+1/2,y+1/2,z+1/2'
'-x,y+1/2,-z'
'x,-y+1/2,z'
loop_
_atom_site_label
_atom_site_type_symbol
_atom_site_fract_x
_atom_site_fract_y
_atom_site_fract_z
_atom_site_occupancy
Nb1 Nb 0.125 0.250 0.246 1
Nb2 Nb 0.126 0.750 0.500 1
Re1 Re 0.124 0.250 0.749 1
Re2 Re 0.124 0.750 0.001 1
```